# ErZnIr2

ErZnIr2 after structural relaxation (PBE, Alexandria).

## Properties
- Calculated total energy: -25.6 eV per formula unit
- Size of the total moment: 0.000 μB/atom
- Energy of formation from the pure elements: -0.519 eV per atom
- Mass density: 15.42 g cm⁻³
- Space group: P4/mmm

Cell lengths 4.2043, 4.2043, 3.7592 Å; angles 90.00, 90.00, 90.00 degrees
With the nearest neighbours (Å) after each atom.
Fractional coordinates of all 4 atoms:
1 Er 0.0000 0.0000 0.0000  8 Ir 2.82, 4 Zn 2.97
2 Zn 0.5000 0.5000 0.0000  8 Ir 2.82, 4 Er 2.97
3 Ir 0.0000 0.5000 0.5000  4 Zn 2.82, 4 Er 2.82, 4 Ir 2.97
4 Ir 0.5000 0.0000 0.5000  4 Zn 2.82, 4 Er 2.82, 4 Ir 2.97